Entry from the Open Quantum Materials Database: crystalline LuHfNO at its relaxed geometry (PBE).

It has space group P4/nmm (No. 129, origin choice 2), with a = 3.8654 Å, b = 3.8654 Å, c = 7.2868 Å, α = 90.00°, β = 90.00° and γ = 90.00°. The inequivalent atoms are Lu at (0.2500, 0.7500, 0.0000), Hf at (0.2500, 0.2500, 0.3690), N at (0.2500, 0.2500, 0.8179) and O at (0.2500, 0.7500, 0.5000).

The value obtained for the final energy is -8.29 eV/atom. For the distance to the lowest polymorph of the same formula, the calculation gives 816.7 meV/atom. As for the spin magnetization: 0.00 Bohr magnetons per cell.

---

Entry from the Open Quantum Materials Database: crystalline LuHfNO at its relaxed geometry (PBE).

It has space group P4/nmm (No. 129, origin choice 2), with a = 4.0976 Å, b = 4.0976 Å, c = 7.9449 Å, α = 90.00°, β = 90.00° and γ = 90.00°. The inequivalent atoms are Lu at (0.2500, 0.2500, 0.1108), Hf at (0.2500, 0.7500, 0.5000), N at (0.2500, 0.2500, 0.5705) and O at (0.2500, 0.7500, 0.0000).

The value obtained for the final energy is -8.93 eV/atom. For the distance to the lowest polymorph of the same formula, the calculation gives 171.7 meV/atom. As for the spin magnetization: 0.01 Bohr magnetons per cell.

---

Entry from the Open Quantum Materials Database: crystalline LuHfNO at its relaxed geometry (PBE).

It has space group Pbcm (No. 57), with a = 7.6729 Å, b = 6.4251 Å, c = 4.5897 Å, α = 90.00°, β = 90.00° and γ = 90.00°. The inequivalent atoms are Lu at (0.1206, 0.0549, 0.2500), Hf at (0.3695, 0.5953, 0.2500), N at (0.3929, 0.5716, 0.7500) and O at (0.1487, 0.1028, 0.7500).

The value obtained for the final energy is -9.10 eV/atom. For the distance to the lowest polymorph of the same formula, the calculation gives 0.0 meV/atom. As for the spin magnetization: 0.01 Bohr magnetons per cell.

---

Entry from the Open Quantum Materials Database: crystalline LuHfNO at its relaxed geometry (PBE).

It has space group Pbcm (No. 57), with a = 7.8891 Å, b = 6.1861 Å, c = 4.6603 Å, α = 90.00°, β = 90.00° and γ = 90.00°. The inequivalent atoms are Lu at (0.1332, 0.0799, 0.2500), Hf at (0.3895, 0.5498, 0.2500), N at (0.1311, 0.0547, 0.7500) and O at (0.3605, 0.6109, 0.7500).

The value obtained for the final energy is -8.98 eV/atom. For the distance to the lowest polymorph of the same formula, the calculation gives 123.4 meV/atom. As for the spin magnetization: 0.01 Bohr magnetons per cell.

---

Entry from the Open Quantum Materials Database: crystalline LuHfNO at its relaxed geometry (PBE).

It has space group Pmma (No. 51), with a = 4.5779 Å, b = 3.7951 Å, c = 6.5472 Å, α = 90.00°, β = 90.00° and γ = 90.00°. The inequivalent atoms are Lu at (0.2500, 0.0000, 0.1588), Hf at (0.2500, 0.5000, 0.6697), N at (0.2500, 0.5000, 0.3517) and O at (0.2500, 0.0000, 0.8074).

The value obtained for the final energy is -9.04 eV/atom. For the distance to the lowest polymorph of the same formula, the calculation gives 66.4 meV/atom. As for the spin magnetization: 0.00 Bohr magnetons per cell.

---

Entry from the Open Quantum Materials Database: crystalline LuHfNO at its relaxed geometry (PBE).

It has space group Pmc2_1 (No. 26), with a = 3.4903 Å, b = 6.0958 Å, c = 5.7802 Å, α = 90.00°, β = 90.00° and γ = 90.00°. The inequivalent atoms are Lu at (0.0000, 0.1737, 0.0000), Hf at (0.5000, 0.3677, 0.4519), N at (0.0000, 0.1766, 0.4072) and O at (0.5000, 0.2895, 0.8170).

The value obtained for the final energy is -8.90 eV/atom. For the distance to the lowest polymorph of the same formula, the calculation gives 201.6 meV/atom. As for the spin magnetization: 0.96 Bohr magnetons per cell.

---

Which of these has the lowest distance to the lowest polymorph of the same formula? number 3

---

Number 3 is which compound? LuHfNO

---

What did the sixth record say?
Entry from the Open Quantum Materials Database: crystalline LuHfNO at its relaxed geometry (PBE).

It has space group Pmc2_1 (No. 26), with a = 3.4903 Å, b = 6.0958 Å, c = 5.7802 Å, α = 90.00°, β = 90.00° and γ = 90.00°. The inequivalent atoms are Lu at (0.0000, 0.1737, 0.0000), Hf at (0.5000, 0.3677, 0.4519), N at (0.0000, 0.1766, 0.4072) and O at (0.5000, 0.2895, 0.8170).

The value obtained for the final energy is -8.90 eV/atom. For the distance to the lowest polymorph of the same formula, the calculation gives 201.6 meV/atom. As for the spin magnetization: 0.96 Bohr magnetons per cell.

---

Look up the distance to the lowest polymorph of the same formula of the fourth one. 123.4 meV/atom